No. 1
Density functional theory data (PBE) for Pm7Ir3 after structural relaxation.

Calculated values
Energy of formation from the pure elements ... -548.5 meV/atom

```
Pm7Ir3
1.0
-6.010 -1.737 0.974
1.643 -0.096 9.962
-3.175 8.456 -4.512
Pm Ir
14 6
Cartesian
-4.311 2.760 3.907
-2.898 7.527 0.550
-1.690 4.309 2.267
-6.524 4.638 6.237
-5.473 4.477 0.945
-4.124 6.579 3.935
-0.862 2.495 5.283
-5.148 6.639 -2.279
-3.168 1.364 0.535
-4.544 -0.637 9.052
-5.568 -0.577 2.837
-3.686 2.723 7.698
-3.103 -0.458 5.624
-2.315 4.346 -1.523
-7.488 5.336 -0.939
-2.195 0.917 3.263
-6.774 5.295 3.393
-1.481 0.875 7.594
-6.108 1.659 1.023
-2.862 4.552 5.632
```

=====

No. 2
Density functional theory data (PBE) for Rb2ScSb after structural relaxation.

```
Rb2ScSb
1.0
-3.090 1.200 -3.239
-2.097 -4.105 0.479
-10.622 3.770 8.215
Rb Sc Sb
4 2 2
Cartesian
-12.520 0.257 3.750
-4.330 -1.482 1.972
-9.897 1.768 5.123
-4.871 1.188 0.066
-7.656 -0.893 3.657
-2.593 -1.452 -1.380
-8.153 1.759 1.798
0.000 0.000 0.000
```

=====

No. 3
Density functional theory data (PBE) for FeB3Ru after structural relaxation.

Calculated values
Energy of formation from the pure elements ... 1184.0 meV/atom

```
FeB3Ru
1.0
-0.957 -3.755 0.927
3.257 -1.297 -1.893
2.086 0.303 3.381
Ru B Fe
1 3 1
Cartesian
0.000 0.000 0.000
-0.478 -1.878 0.463
1.629 -0.649 -0.947
1.043 0.151 1.691
2.193 -2.375 1.207
```

=====

No. 4
Density functional theory data (PBE) for CdInB after structural relaxation.

Calculated values
Energy of formation from the pure elements ... 315.8 meV/atom

```
CdInB
1.0
-1.610 -10.156 -7.241
2.860 0.486 -1.318
2.591 -3.499 4.331
In B Cd
4 4 4
Cartesian
0.397 -4.477 -2.717
0.210 -10.390 -5.303
3.444 -8.691 -1.511
3.630 -2.778 1.075
0.000 0.000 0.000
1.430 0.243 -0.659
0.490 -6.827 -1.455
1.920 -6.584 -2.114
0.420 -7.821 -3.899
3.420 -5.347 -0.328
0.932 -2.347 -0.770
2.909 -10.821 -3.458
```

=====

No. 5
Density functional theory data (PBE) for Sr4Bi7Pb4 after structural relaxation.

Calculated values
Energy of formation from the pure elements ... -379.5 meV/atom

```
Sr4Bi7Pb4
1.0
-0.345 -6.420 2.505
6.111 -7.403 -8.628
10.543 -1.422 7.308
Pb Bi Sr
8 14 8
Cartesian
10.098 -7.258 -2.955
9.926 -10.468 -1.703
6.210 -7.988 4.141
5.072 -6.546 -1.824
4.900 -9.756 -0.571
11.237 -8.699 3.010
11.409 -5.489 1.757
6.383 -4.778 2.888
-0.256 -4.777 1.864
12.043 -8.173 -0.282
7.775 -8.135 -0.773
2.298 -4.859 -2.632
6.157 -5.335 6.180
8.534 -7.110 1.958
6.870 -4.207 -0.332
4.265 -7.072 1.468
3.468 -8.964 -3.490
-0.088 -1.643 0.641
7.313 -5.781 -4.306
4.041 -2.507 3.634
9.341 -3.044 2.986
9.439 -11.039 1.518
1.353 -7.553 -0.164
6.759 -9.506 -4.425
4.413 -6.270 -5.958
7.648 -1.905 5.672
2.974 -3.655 0.545
9.550 -5.740 5.611
13.334 -11.590 0.641
2.550 -5.937 4.141
```

=====

No. 6
Density functional theory data (PBE) for BaBeSe2 after structural relaxation.

```
BaBeSe2
1.0
-1.126 -4.924 -1.308
2.783 -2.421 -3.690
3.263 -3.857 1.303
Se Be Ba
2 1 1
Cartesian
1.230 -2.801 -0.924
0.000 0.000 0.000
3.690 -8.402 -2.771
2.460 -5.601 -1.847
```

=====

No. 7
Density functional theory data (PBE) for SrBe2Zn after structural relaxation.

Calculated values
Energy of formation from the pure elements ... 468.8 meV/atom

```
SrBe2Zn
1.0
-2.822 0.780 -0.259
-0.536 -2.579 -1.922
-1.607 -3.918 5.708
Zn Sr Be
1 1 2
Cartesian
-2.884 -3.838 3.190
-2.081 -1.879 0.336
-0.931 -2.269 3.305
-1.480 -3.609 5.257
```

=====

No. 8
Density functional theory data (PBE) for Tl3HgSeF after structural relaxation.

```
Tl3HgSeF
1.0
4.488 0.000 0.000
0.000 9.425 0.029
0.000 -2.465 9.320
Tl F Hg Se
6 2 2 2
Cartesian
3.366 8.327 1.263
3.366 4.302 1.768
3.366 0.489 5.039
1.122 -1.368 8.087
1.122 2.658 7.582
1.122 6.470 4.311
3.366 7.696 3.746
1.122 -0.736 5.604
3.366 5.301 7.114
1.122 1.659 2.236
3.366 0.655 8.320
1.122 6.305 1.030
```

=====

No. 9
Density functional theory data (PBE) for Th12Tl3Hg after structural relaxation.

Calculated values
Energy of formation from the pure elements ... -58.6 meV/atom

```
Th12Tl3Hg
1.0
4.952 0.000 0.000
0.000 4.952 0.000
0.000 0.000 19.820
Tl Th Hg
3 12 1
Cartesian
0.000 0.000 4.933
0.000 0.000 9.910
0.000 0.000 14.886
0.000 2.476 17.377
2.476 2.476 9.910
2.476 0.000 2.443
0.000 2.476 12.395
2.476 2.476 14.898
0.000 2.476 7.424
2.476 0.000 17.377
2.476 0.000 7.424
2.476 2.476 4.921
0.000 2.476 2.443
2.476 2.476 0.000
2.476 0.000 12.395
0.000 0.000 0.000
```

=====

No. 10
Density functional theory data (PBE) for Cs2ZrB after structural relaxation.

Calculated values
Energy of formation from the pure elements ... 2082.0 meV/atom

```
Cs2ZrB
1.0
0.000 4.165 4.165
4.165 0.000 4.165
4.165 4.165 0.000
Zr B Cs
1 1 2
Cartesian
4.165 4.165 4.165
0.000 0.000 0.000
6.247 6.247 6.247
2.082 2.082 2.082
```

=====

No. 11
Density functional theory data (PBE) for Cs3PtBr8 after structural relaxation.

```
Cs3PtBr8
1.0
9.186 0.000 0.000
0.000 9.446 -5.454
0.000 0.000 10.907
Pt Br Cs
2 16 6
Cartesian
5.945 6.297 0.000
1.352 3.149 5.454
7.394 7.325 -1.780
9.109 4.174 3.678
2.801 5.204 5.454
1.218 6.297 0.000
8.848 0.000 0.000
9.109 4.174 7.230
4.516 5.272 -1.776
4.516 8.348 0.000
4.255 0.000 0.000
7.394 4.242 0.000
5.811 3.149 5.454
4.516 5.272 1.776
7.394 7.325 1.780
2.801 2.121 7.234
2.801 2.121 3.673
9.109 1.098 5.454
6.555 1.429 8.432
1.962 8.017 -2.978
6.555 6.587 5.454
1.962 2.858 0.000
6.555 1.429 2.475
1.962 8.017 2.978
```

=====

No. 12
Density functional theory data (PBE) for Ta2TcHIr after structural relaxation.

```
Ta2TcHIr
1.0
-3.785 -1.424 1.323
1.165 -3.980 -0.951
1.359 -0.423 3.434
H Tc Ir Ta
1 1 1 2
Cartesian
0.000 0.000 0.000
0.680 -0.211 1.717
-0.631 -2.914 1.903
0.582 -1.990 -0.475
-1.893 -0.712 0.661
```

=====

No. 13
Density functional theory data (PBE) for PrGd2In after structural relaxation.

Calculated values
Energy of formation from the pure elements ... -146.4 meV/atom

```
PrGd2In
1.0
5.535 0.000 0.000
2.768 4.794 0.000
2.768 1.598 4.519
Gd Pr In
2 1 1
Cartesian
8.303 4.794 3.390
2.768 1.598 1.130
0.000 0.000 0.000
5.535 3.196 2.260
```

=====

No. 14
Density functional theory data (PBE) for Ag2P after structural relaxation.

Calculated values
Energy of formation from the pure elements ... 199.9 meV/atom

```
Ag2P
1.0
0.000 3.050 3.050
3.050 0.000 3.050
3.050 3.050 0.000
Ag P
2 1
Cartesian
1.525 1.525 1.525
4.574 4.574 4.574
0.000 0.000 0.000
```

=====

In eV per atom, the raw total energy values for the records above are, in order, -6.53; -2.87; -6.37; -3.13; -3.63; -3.19; -2.13; -2.88; -6.09; -2.15; -2.81; -9.54; -9.07; -3.50.